BeGeH: optimized geometry, GGA-PBE.

CIF file:
```
data_BeGeH
_cell_length_a 5.782
_cell_length_b 6.284
_cell_length_c 4.048
_cell_angle_alpha 90.00
_cell_angle_beta 90.17
_cell_angle_gamma 90.00
_symmetry_space_group_name_H-M 'P 1 21/c 1'
_symmetry_Int_Tables_number 14
_symmetry_space_group_name_Hall '-P 2ybc'
loop_
_atom_site_label
_atom_site_type_symbol
_atom_site_fract_x
_atom_site_fract_y
_atom_site_fract_z
Be1 Be 0.069 0.146 0.405
Ge1 Ge 0.340 0.635 0.993
H1 H 0.137 0.160 0.066
```

## Properties
Raw total energy (eV per atom): -3.834
V (Å³/atom): 12.256
DOS(E_F) (states/eV per cell): 0.18

---

BeGe2H: optimized geometry, GGA-PBE.

CIF file:
```
data_BeGe2H
_cell_length_a 4.170
_cell_length_b 4.170
_cell_length_c 12.896
_cell_angle_alpha 90.00
_cell_angle_beta 90.00
_cell_angle_gamma 90.00
_symmetry_space_group_name_H-M 'I -4 2 d'
_symmetry_Int_Tables_number 122
_symmetry_space_group_name_Hall 'I -4 2bw'
loop_
_atom_site_label
_atom_site_type_symbol
_atom_site_fract_x
_atom_site_fract_y
_atom_site_fract_z
Be1 Be 0.000 0.000 0.000
Ge1 Ge 0.195 0.250 0.625
H1 H 0.000 0.000 0.500
```

## Properties
Raw total energy (eV per atom): -3.542
V (Å³/atom): 14.017
DOS(E_F) (states/eV per cell): 7.25